Density functional theory data (GGA-PBE) for a relaxed PmTiP2Rh5 crystal.

Cell: 4.0481 4.0481 9.8896 Å, 90.00 90.00 90.00°
Last column: nearest neighbours and their distance in Å.
Positions (direct):
1 Pm 0.0000 0.0000 0.5000  4 Rh 2.86
2 Ti 0.0000 0.0000 0.0000  8 Rh 2.59
3 P 0.5000 0.5000 0.2706  5 Rh 2.27-2.28
4 P 0.5000 0.5000 0.7294  5 Rh 2.27-2.28
5 Rh 0.0000 0.5000 0.1638  2 P 2.28
6 Rh 0.5000 0.0000 0.1638  2 P 2.28
7 Rh 0.0000 0.5000 0.8362  2 P 2.28
8 Rh 0.5000 0.0000 0.8362  2 P 2.28
9 Rh 0.5000 0.5000 0.5000  2 P 2.27

Output
symmetry: P4/mmm
energy of formation from the pure elements: -6.692 eV per formula unit
total magnetization: 0.00 μB per formula unit
DFT total energy: -7.43 eV per atom